Record 1
## TlCS2 (SCAN)

Data for a crystal of TlCS2 relaxed with PBEsol.

```
data_TlCS2
_cell_length_a 6.415
_cell_length_b 6.415
_cell_length_c 6.415
_cell_angle_alpha 90.00
_cell_angle_beta 90.00
_cell_angle_gamma 90.00
_symmetry_space_group_name_H-M 'F m -3 m'
_symmetry_Int_Tables_number 225
_symmetry_space_group_name_Hall '-F 4 2 3'
loop_
_atom_site_label
_atom_site_type_symbol
_atom_site_fract_x
_atom_site_fract_y
_atom_site_fract_z
Tl1 Tl 0.000 0.000 0.000
C1 C 0.000 0.000 0.500
S1 S 0.250 0.250 0.250
```

E_tot ... -23.543 eV/atom
Formation energy (no corrections) ... 1886 meV per atom

=====

Record 2
## ZnC3S (SCAN)

Data for a crystal of ZnC3S relaxed with PBEsol.

```
data_ZnC3S
_cell_length_a 3.596
_cell_length_b 3.596
_cell_length_c 3.596
_cell_angle_alpha 90.00
_cell_angle_beta 90.00
_cell_angle_gamma 90.00
_symmetry_space_group_name_H-M 'P m -3 m'
_symmetry_Int_Tables_number 221
_symmetry_space_group_name_Hall '-P 4 2 3'
loop_
_atom_site_label
_atom_site_type_symbol
_atom_site_fract_x
_atom_site_fract_y
_atom_site_fract_z
Zn1 Zn 0.000 0.000 0.000
C1 C 0.000 0.500 0.500
S1 S 0.500 0.500 0.500
```

E_tot ... -8.083 eV/atom
Formation energy (no corrections) ... 2605 meV per atom

=====

Record 3
## Zr2CS (SCAN)

Data for a crystal of Zr2CS relaxed with PBEsol.

```
data_Zr2CS
_cell_length_a 3.3878
_cell_length_b 3.3878
_cell_length_c 12.1112
_cell_angle_alpha 90.00
_cell_angle_beta 90.00
_cell_angle_gamma 120.00
_symmetry_space_group_name_H-M 'P 63/m m c'
_symmetry_Int_Tables_number 194
_symmetry_space_group_name_Hall '-P 6c 2c'
loop_
_atom_site_label
_atom_site_type_symbol
_atom_site_fract_x
_atom_site_fract_y
_atom_site_fract_z
Zr1 Zr 0.3333 0.6667 0.1012
C1 C 0.0000 0.0000 0.0000
S1 S 0.3333 0.6667 0.7500
```

E_tot ... -21.825 eV/atom
Formation energy (no corrections) ... -1544 meV per atom

=====

Record 4
## SbC2 (SCAN)

Data for a crystal of SbC2 relaxed with PBEsol.

```
data_SbC2
_cell_length_a 3.3740
_cell_length_b 3.3740
_cell_length_c 11.6753
_cell_angle_alpha 90.00
_cell_angle_beta 90.00
_cell_angle_gamma 120.00
_symmetry_space_group_name_H-M 'R -3 m'
_symmetry_Int_Tables_number 166
_symmetry_space_group_name_Hall '-R 3 2"'
loop_
_atom_site_label
_atom_site_type_symbol
_atom_site_fract_x
_atom_site_fract_y
_atom_site_fract_z
Sb1 Sb 0.0000 0.0000 0.0000
C1 C 0.0000 0.0000 0.2322
```

E_tot ... -16.455 eV/atom
Distance to the lowest polymorph of the same formula ... 164.34 kJ/mol of atoms
Formation energy (no corrections) ... 2699 meV per atom